# 1
This record from the Alexandria database describes a relaxed structure of Rb3Ce3ZnS8. The functional is PBE-GGA.

Lattice parameters (Å, degrees): 8.4316 8.0885 8.9174 115.28 90.00 121.41
Element x y z (fractional)
Zn 0.0000 0.0000 0.5000
Ce 0.5000 0.5000 0.5000
Ce 0.5000 0.0000 0.5000
Ce 0.0000 0.5000 0.5000
S 0.2936 0.0496 0.3049
S 0.2669 0.5337 0.3049
S 0.2441 0.9504 0.6951
S 0.1958 0.3917 0.6638
S 0.7559 0.0496 0.3049
S 0.7064 0.9504 0.6951
S 0.8042 0.6083 0.3362
S 0.7331 0.4663 0.6951
Rb 0.5000 0.5000 0.0000
Rb 0.0000 0.5000 0.0000
Rb 0.0000 0.0000 0.0000

Output
VASP energy (eV per atom): -5.18
Formation energy without anion corrections (eV per atom): -1.5086
Space-group type: C2/m, No. 12
Total magnetic moment (μB/f.u.): 1.12
N(E_F) (states/eV per atom): 0.841


# 2
This record from the Alexandria database describes a relaxed structure of CdGaHgPb. The functional is PBE-GGA.

Lattice parameters (Å, degrees): 5.2270 5.2270 5.2270 60.00 60.00 60.00
Element x y z (fractional)
Pb 0.2500 0.2500 0.2500
Hg 0.7500 0.7500 0.7500
Ga 0.5000 0.5000 0.5000
Cd 0.0000 0.0000 0.0000

Output
VASP energy (eV per atom): -1.87
Energy relative to the elements (eV per atom): 0.1220
Energy relative to the lowest polymorph listed for this composition (eV per formula unit): 0.27
Space-group type: F-43m, No. 216
Total magnetic moment (μB/f.u.): 0.00
N(E_F) (states/eV per atom): 1.020